This record from the Alexandria database describes Ho2Tm2Al3 after structural relaxation. The functional is PBE-GGA.

Properties
E_form: -0.281 eV/atom
V: 169.9 Å³ per cell

a b c (Å): 3.5432 6.2107 8.1332
angles (deg): 82.46 89.99 73.45
Last column: nearest neighbours and their distance in Å.
Space group P-1 (No. 2)
Unique sites:
Ho: 0.1986 0.1037 0.1585  5 Al 3.09-3.32, 3 Tm 3.42
Tm: 0.0612 0.3778 0.7059  6 Al 3.04-3.32
Al: 0.3379 0.8237 0.5406  2 Al 2.76, 2 Tm 3.04
Al: 0.5000 0.5000 0.0000  4 Ho 3.09, 4 Tm 3.14